(1)
DFT (GGA-PBE) results for a relaxed MoPt5 crystal.

- Energy of formation from the pure elements: -0.148 eV/atom
- ΔE to the lowest computed polymorph: 0.065 eV per atom
- Space group: Cm

```
MoPt5
1.0
-0.4165 -5.0553 1.8990
2.3551 -4.6423 1.4960
-1.0682 10.2264 3.1312
Mo Pt
1 5
Direct
0.0014 0.0014 0.9992
0.1247 0.1247 0.7320
0.3357 0.3357 0.6698
0.4399 0.4399 0.3885
0.6570 0.6570 0.3190
0.7746 0.7746 0.0581
```

---

(2)
DFT (GGA-PBE) results for a relaxed Mo3Pt2 crystal.

- Energy of formation from the pure elements: -0.030 eV/atom
- ΔE to the lowest computed polymorph: 0.103 eV per atom
- Space group: R-3m

```
Mo3Pt2
1.0
11.8017 -1.3875 0.0048
11.8017 1.3875 0.0048
11.6376 0.0000 2.4023
Mo Pt
3 2
Direct
0.0000 0.0000 0.0000
0.7989 0.7989 0.7989
0.2011 0.2011 0.2011
0.6010 0.6010 0.6010
0.3990 0.3990 0.3990
```

---

(3)
DFT (GGA-PBE) results for a relaxed Mo3Pt2 crystal.

- Energy of formation from the pure elements: 0.091 eV/atom
- ΔE to the lowest computed polymorph: 0.224 eV per atom
- Space group: C2/m

```
Mo3Pt2
1.0
-0.7435 -1.3769 3.8453
2.9839 -2.8369 -2.6800
1.7788 4.7345 2.0393
Mo Pt
3 2
Direct
0.7038 0.4075 0.3371
0.2962 0.5925 0.6629
0.0000 0.0000 0.0000
0.3653 0.7306 0.2104
0.6347 0.2694 0.7896
```